Here is Pm2Ho3Tm5 after structural relaxation from the Alexandria database. Energies are from GGA-PBE.

Calculated values
- Fermi-level density of states (states/eV/atom) = 1.56
- total moment (μB per formula unit) = 0.0
- density (g/cm3) = 8.02
- DFT formation energy (eV per atom) = 0.425
- total energy (hartree per atom) = -0.1519
- distance to the lowest polymorph of the same formula (kcal/mol of atoms) = 5.230

a b c (Å): 10.816 9.788 9.788
angles (deg): 56.80 56.46 56.46
Sites, in units of the cell vectors:
Pm 0.120 0.772 0.987
Pm 0.880 0.228 0.013
Pm 0.620 0.987 0.772
Pm 0.380 0.013 0.228
Ho 0.250 0.000 0.000
Ho 0.750 0.000 0.000
Ho 0.370 0.375 0.884
Ho 0.630 0.625 0.116
Ho 0.870 0.884 0.375
Ho 0.130 0.116 0.625
Tm 0.250 0.500 0.500
Tm 0.750 0.500 0.500
Tm 0.500 0.750 0.750
Tm 0.000 0.250 0.250
Tm 0.500 0.250 0.250
Tm 0.000 0.750 0.750
Tm 0.122 0.459 0.297
Tm 0.878 0.541 0.703
Tm 0.622 0.297 0.459
Tm 0.378 0.703 0.541